The following is a DFT calculation (PBE) of CePaTlAu after structural relaxation.

Lattice parameters (Å, degrees): 5.3121 5.3121 5.3121 60.00 60.00 60.00
Last column: nearest neighbours and their distance in Å.
Atoms (fractional coordinates):
Ce: 0.7500 0.7500 0.7500  4 Tl 3.25, 4 Au 3.25
Au: 0.5000 0.5000 0.5000  4 Ce 3.25, 4 Pa 3.25
Pa: 0.2500 0.2500 0.2500  4 Tl 3.25, 4 Au 3.25
Tl: 0.0000 0.0000 0.0000  4 Pa 3.25, 4 Ce 3.25

---

The following is a DFT calculation (PBE) of CePbAu after structural relaxation.

Lattice parameters (Å, degrees): 3.7538 4.9168 4.9168 120.00 90.00 90.00
Last column: nearest neighbours and their distance in Å.
Atoms (fractional coordinates):
Au: 0.2275 0.3333 0.6667  3 Pb 2.87
Ce: 0.6570 0.6667 0.3333  6 Au 3.26-3.56, 6 Pb 3.32-3.49
Pb: 0.1155 0.0000 0.0000  3 Au 2.87

---

The following is a DFT calculation (PBE) of Ce12PbAu6 after structural relaxation.

Lattice parameters (Å, degrees): 7.8768 7.8768 7.8768 91.80 91.80 91.80
Last column: nearest neighbours and their distance in Å.
Atoms (fractional coordinates):
Ce: 0.1400 0.3915 0.0331  2 Ce 2.86-2.88, 2 Au 3.15-3.20
Ce: 0.8600 0.6085 0.9669  2 Ce 2.86-2.88, 2 Au 3.15-3.20
Ce: 0.6085 0.9669 0.8600  2 Ce 2.86-2.88, 2 Au 3.15-3.20
Au: 0.2678 0.1347 0.7456  9 Ce 3.12-3.35, 1 Pb 3.14, 2 Au 3.34
Ce: 0.1619 0.4527 0.5460  2 Ce 2.76-2.86
Au: 0.2544 0.7322 0.8653  9 Ce 3.12-3.35, 1 Pb 3.14, 2 Au 3.34
Au: 0.1347 0.7456 0.2678  9 Ce 3.12-3.35, 1 Pb 3.14, 2 Au 3.34
Ce: 0.3915 0.0331 0.1400  2 Ce 2.86-2.88, 2 Au 3.15-3.20
Au: 0.8653 0.2544 0.7322  9 Ce 3.12-3.35, 1 Pb 3.14, 2 Au 3.34
Pb: 0.0000 0.0000 0.0000  6 Au 3.14, 6 Ce 3.24
Ce: 0.9669 0.8600 0.6085  2 Ce 2.86-2.88, 2 Au 3.15-3.20
Ce: 0.5460 0.1619 0.4527  2 Ce 2.76-2.86
Au: 0.7322 0.8653 0.2544  9 Ce 3.12-3.35, 1 Pb 3.14, 2 Au 3.34
Ce: 0.8381 0.5473 0.4540  2 Ce 2.76-2.86
Ce: 0.0331 0.1400 0.3915  2 Ce 2.86-2.88, 2 Au 3.15-3.20
Au: 0.7456 0.2678 0.1347  9 Ce 3.12-3.35, 1 Pb 3.14, 2 Au 3.34
Ce: 0.5473 0.4540 0.8381  2 Ce 2.76-2.86
Ce: 0.4527 0.5460 0.1619  2 Ce 2.76-2.86
Ce: 0.4540 0.8381 0.5473  2 Ce 2.76-2.86

---

The following is a DFT calculation (PBE) of Ce7PbAu4 after structural relaxation.

Lattice parameters (Å, degrees): 5.9042 8.3271 7.8000 68.16 67.76 69.24
Last column: nearest neighbours and their distance in Å.
Atoms (fractional coordinates):
Ce: 0.9528 0.4031 0.6913  1 Ce 2.76, 1 Au 2.96
Au: 0.4712 0.6986 0.3590  4 Ce 2.88-3.10, 2 Au 3.14-3.20
Au: 0.7056 0.6462 0.9427  5 Ce 2.90-3.22, 1 Au 3.14
Ce: 0.7943 0.9211 0.4903  4 Ce 2.98-3.22
Au: 0.5288 0.3014 0.6410  4 Ce 2.88-3.10, 2 Au 3.14-3.20
Ce: 0.5000 0.0000 0.0000  4 Au 2.90-2.98, 2 Pb 2.95
Au: 0.2944 0.3538 0.0573  5 Ce 2.90-3.22, 1 Au 3.14
Pb: 0.0000 0.0000 0.0000  4 Ce 2.95-3.27
Ce: 0.0472 0.5969 0.3087  1 Ce 2.76, 1 Au 2.96
Ce: 0.2702 0.7029 0.7568  4 Au 2.88-3.22, 1 Ce 2.98
Ce: 0.7298 0.2971 0.2432  4 Au 2.88-3.22, 1 Ce 2.98
Ce: 0.2057 0.0789 0.5097  4 Ce 2.98-3.22

---

The following is a DFT calculation (PBE) of Ce2PbAu after structural relaxation.

Lattice parameters (Å, degrees): 3.5054 3.5054 8.7620 90.00 90.00 90.00
Last column: nearest neighbours and their distance in Å.
Atoms (fractional coordinates):
Ce: 0.0000 0.0000 0.7722  4 Au 3.18, 4 Pb 3.44, 4 Ce 3.51
Au: 0.5000 0.5000 0.0000  8 Ce 3.18, 4 Au 3.51
Pb: 0.5000 0.5000 0.5000  8 Ce 3.44, 4 Pb 3.51
Ce: 0.0000 0.0000 0.2278  4 Au 3.18, 4 Pb 3.44, 4 Ce 3.51

---

The following is a DFT calculation (PBE) of CePbAu after structural relaxation.

Lattice parameters (Å, degrees): 5.2083 5.2083 6.6264 90.00 90.00 120.08
Last column: nearest neighbours and their distance in Å.
Atoms (fractional coordinates):
Pb: 0.0000 0.5000 0.0000  2 Pb 3.31, 6 Au 3.43-3.44, 6 Ce 3.43
Ce: 0.6671 0.8329 0.2500  5 Au 3.01-3.31
Pb: 0.0000 0.5000 0.5000  2 Pb 3.31, 6 Au 3.43-3.44, 6 Ce 3.43
Au: 0.6661 0.8339 0.7500  5 Ce 3.01-3.31
Ce: 0.3329 0.1671 0.7500  5 Au 3.01-3.31
Au: 0.3339 0.1661 0.2500  5 Ce 3.01-3.31

---

The following is a DFT calculation (PBE) of Ce5PbAu2 after structural relaxation.

Lattice parameters (Å, degrees): 8.2272 8.2272 8.8713 117.63 117.63 90.00
Last column: nearest neighbours and their distance in Å.
Atoms (fractional coordinates):
Ce: 0.6890 0.1890 0.7022  3 Au 3.13-3.14, 2 Pb 3.37, 1 Ce 3.39
Ce: 0.5000 0.5000 0.0000  4 Au 3.22, 2 Pb 3.35
Pb: 0.7500 0.7500 0.5000  10 Ce 3.35-3.37
Au: 0.1311 0.3689 0.0000  1 Au 3.05, 8 Ce 3.13-3.22
Ce: 0.0132 0.5132 0.7022  3 Au 3.13-3.14, 2 Pb 3.37, 1 Ce 3.39
Ce: 0.4868 0.3110 0.2978  3 Au 3.13-3.14, 2 Pb 3.37, 1 Ce 3.39
Pb: 0.2500 0.2500 0.5000  10 Ce 3.35-3.37
Au: 0.8689 0.6311 0.0000  1 Au 3.05, 8 Ce 3.13-3.22
Ce: 0.9868 0.4868 0.2978  3 Au 3.13-3.14, 2 Pb 3.37, 1 Ce 3.39
Ce: 0.3110 0.8110 0.2978  3 Au 3.13-3.14, 2 Pb 3.37, 1 Ce 3.39
Ce: 0.8110 0.9868 0.2978  3 Au 3.13-3.14, 2 Pb 3.37, 1 Ce 3.39
Ce: 0.0000 0.0000 0.0000  4 Au 3.22, 2 Pb 3.35
Au: 0.3689 0.8689 0.0000  1 Au 3.05, 8 Ce 3.13-3.22
Ce: 0.5132 0.6890 0.7022  3 Au 3.13-3.14, 2 Pb 3.37, 1 Ce 3.39
Au: 0.6311 0.1311 0.0000  1 Au 3.05, 8 Ce 3.13-3.22
Ce: 0.1890 0.0132 0.7022  3 Au 3.13-3.14, 2 Pb 3.37, 1 Ce 3.39

---

The following is a DFT calculation (PBE) of Ce3PbAu2 after structural relaxation.

Lattice parameters (Å, degrees): 4.5403 4.6721 7.4036 90.00 107.86 90.00
Last column: nearest neighbours and their distance in Å.
Atoms (fractional coordinates):
Au: 0.1687 0.5000 0.3375  8 Ce 3.18-3.29, 2 Au 3.22, 2 Pb 3.33
Ce: 0.5000 0.5000 0.0000  4 Pb 3.26, 4 Au 3.29, 4 Ce 3.43
Ce: 0.3213 0.0000 0.6427  2 Ce 3.03, 6 Au 3.18-3.26, 2 Pb 3.39
Ce: 0.6787 0.0000 0.3573  2 Ce 3.03, 6 Au 3.18-3.26, 2 Pb 3.39
Au: 0.8313 0.5000 0.6625  8 Ce 3.18-3.29, 2 Au 3.22, 2 Pb 3.33
Pb: 0.0000 0.0000 0.0000  8 Ce 3.26-3.39, 4 Au 3.33

Values from the calculation:
ΔE to the lowest computed polymorph: 0.0527 eV per atom

---

The following is a DFT calculation (PBE) of Ce2PbAu3 after structural relaxation.

Lattice parameters (Å, degrees): 3.4837 4.8469 8.6229 90.00 90.00 90.00
Last column: nearest neighbours and their distance in Å.
Atoms (fractional coordinates):
Pb: 0.5000 0.5000 0.3313  3 Au 2.85-2.92
Ce: 0.0000 0.5000 0.9815  10 Au 3.20-3.35, 2 Pb 3.48, 2 Ce 3.48
Au: 0.5000 0.5000 0.6704  2 Au 2.81, 1 Pb 2.92
Au: 0.5000 0.0000 0.1571  1 Au 2.78, 2 Pb 2.85
Ce: 0.0000 0.0000 0.5251  6 Au 3.19-3.24, 4 Pb 3.42, 2 Ce 3.48
Au: 0.5000 0.0000 0.8345  3 Au 2.78-2.81

Values from the calculation:
ΔE to the lowest computed polymorph: 0.0000 eV per atom

---

The following is a DFT calculation (PBE) of Ce4PbAu7 after structural relaxation.

Lattice parameters (Å, degrees): 5.5486 9.9842 6.3824 84.71 64.24 73.87
Last column: nearest neighbours and their distance in Å.
Atoms (fractional coordinates):
Ce: 0.2307 0.3566 0.1819  5 Au 3.00-3.06
Au: 0.3671 0.5255 0.7402  2 Au 2.79-2.91, 4 Ce 3.02-3.07
Au: 0.7851 0.9029 0.5269  2 Au 2.85-2.89, 4 Ce 3.01-3.06
Pb: 0.0000 0.0000 0.0000  2 Au 2.77
Au: 0.0682 0.6697 0.1940  2 Au 2.89-2.91, 3 Ce 3.00-3.23
Au: 0.9318 0.3303 0.8060  2 Au 2.89-2.91, 3 Ce 3.00-3.23
Ce: 0.7693 0.6434 0.8181  5 Au 3.00-3.06
Au: 0.6329 0.4745 0.2598  2 Au 2.79-2.91, 4 Ce 3.02-3.07
Ce: 0.6003 0.2159 0.5835  8 Au 3.01-3.23
Ce: 0.3997 0.7841 0.4165  8 Au 3.01-3.23
Au: 0.5000 0.0000 0.0000  2 Pb 2.77, 2 Au 2.85
Au: 0.2149 0.0971 0.4731  2 Au 2.85-2.89, 4 Ce 3.01-3.06

---

The following is a DFT calculation (PBE) of Ce5Pb2Au2 after structural relaxation.

Lattice parameters (Å, degrees): 8.1639 8.2991 8.9176 117.73 90.00 90.00
Last column: nearest neighbours and their distance in Å.
Atoms (fractional coordinates):
Pb: 0.0000 0.2115 0.4229  7 Ce 3.24-3.34
Ce: 0.1696 0.1978 0.7456  3 Au 3.09-3.21, 3 Pb 3.24-3.34
Ce: 0.3304 0.6978 0.7456  3 Au 3.09-3.21, 3 Pb 3.24-3.34
Ce: 0.8304 0.8022 0.2544  3 Au 3.09-3.21, 3 Pb 3.24-3.34
Pb: 0.5000 0.2885 0.5771  7 Ce 3.24-3.34
Ce: 0.5000 0.5000 0.0000  4 Au 3.21-3.29, 2 Pb 3.34
Pb: 0.5000 0.7115 0.4229  7 Ce 3.24-3.34
Ce: 0.6696 0.0478 0.7456  3 Au 3.09-3.21, 3 Pb 3.24-3.34
Au: 0.1280 0.6246 0.0000  1 Au 2.94, 8 Ce 3.09-3.29
Au: 0.3720 0.1246 0.0000  1 Au 2.94, 8 Ce 3.09-3.29
Ce: 0.6696 0.3022 0.2544  3 Au 3.09-3.21, 3 Pb 3.24-3.34
Ce: 0.1696 0.4522 0.2544  3 Au 3.09-3.21, 3 Pb 3.24-3.34
Pb: 0.0000 0.7885 0.5771  7 Ce 3.24-3.34
Au: 0.6280 0.8754 0.0000  1 Au 2.94, 8 Ce 3.09-3.29
Ce: 0.8304 0.5478 0.7456  3 Au 3.09-3.21, 3 Pb 3.24-3.34
Ce: 0.0000 0.0000 0.0000  4 Au 3.21-3.29, 2 Pb 3.34
Au: 0.8720 0.3754 0.0000  1 Au 2.94, 8 Ce 3.09-3.29
Ce: 0.3304 0.9522 0.2544  3 Au 3.09-3.21, 3 Pb 3.24-3.34

---

The following is a DFT calculation (PBE) of CePbAu after structural relaxation.

Lattice parameters (Å, degrees): 4.9636 4.9636 7.3123 90.00 90.00 120.00
Last column: nearest neighbours and their distance in Å.
Atoms (fractional coordinates):
Au: 0.3333 0.6667 0.2500  3 Pb 2.87
Ce: 0.0000 0.0000 0.0000  6 Pb 3.40, 6 Au 3.40, 2 Ce 3.66
Au: 0.6667 0.3333 0.7500  3 Pb 2.87
Pb: 0.3333 0.6667 0.7500  3 Au 2.87
Ce: 0.0000 0.0000 0.5000  6 Pb 3.40, 6 Au 3.40, 2 Ce 3.66
Pb: 0.6667 0.3333 0.2500  3 Au 2.87

---

Formation energy list, top to bottom, in eV/atom: -0.05, -0.47, -0.32, -0.34, -0.49, -0.58, -0.39, -0.47, -0.61, -0.43, -0.41, -0.48
M_tot list, top to bottom, in μB per cell: 3.13, 1.24, 9.52, 5.02, 2.36, 1.35, 13.56, 3.20, 1.90, 3.95, 9.84, 2.44
Theoretical density list, top to bottom, in g/cm3: 12.10, 11.50, 10.45, 10.28, 10.56, 11.62, 9.54, 11.35, 12.30, 11.66, 9.37, 11.59